# 1
Density functional theory data (GGA-PBE) for an optimized crystal structure of CdSi2Br.

The structure in POSCAR format:
```
CdSi2Br
1.0
6.4480 0.0063 0.0018
3.9449 5.1004 -0.0018
-4.7043 -3.5550 2.6093
Br Cd Si
1 1 2
Cartesian
5.0913 2.5017 0.0000 Br
3.8014 -0.3349 1.3056 Cd
0.2776 0.1364 0.0000 Si
1.7148 1.8019 1.3038 Si
```

energy above the most stable polymorph in this dataset	362	meV per atom
ΔE_f (raw)	0.384	eV/atom
raw total energy	-2.975	eV per atom
M_tot	0.000	μB/atom

***

# 2
Density functional theory data (GGA-PBE) for an optimized crystal structure of Ce2InB2Ir5.

The structure in POSCAR format:
```
Ce2InB2Ir5
1.0
-2.2624 2.4622 -0.3598
-1.5892 -2.7972 -9.1494
-6.9977 -5.9849 3.0453
Ce In B Ir
4 2 4 10
Cartesian
-2.3221 -2.9608 -5.6605 Ce
-6.2648 -5.8214 -0.4436 Ce
-2.5368 -2.4254 -0.6466 Ce
-6.0502 -6.3568 -5.4575 Ce
0.0000 0.0000 0.0000 In
-4.2935 -4.3911 -3.0520 In
-4.5219 -4.0388 0.7954 B
-4.0650 -4.7434 -6.8995 B
-7.1479 -7.0038 -2.9823 B
-1.4390 -1.7784 -3.1218 B
-1.9841 0.1742 -2.0497 Ir
-8.8652 -6.4942 -4.4141 Ir
-6.6469 -3.5872 1.5299 Ir
-5.2956 -3.3770 -5.5291 Ir
-4.2024 -2.7328 -7.9938 Ir
-5.5538 -2.9430 -0.9348 Ir
-7.1297 -4.7192 -3.1804 Ir
-3.7196 -1.6008 -3.2834 Ir
-1.9258 -0.1675 -4.7546 Ir
-4.6300 -1.7614 1.3428 Ir
```

formation energy	-0.58	eV per atom
raw total energy	-7.808	eV per atom
M_tot	0.068	μB/atom

***

# 3
Density functional theory data (GGA-PBE) for an optimized crystal structure of TcP2Ru.

The structure in POSCAR format:
```
TcP2Ru
1.0
-1.5261 0.1291 2.7367
2.2622 -1.7079 1.3420
2.7123 4.6102 1.2950
P Ru Tc
2 1 1
Cartesian
2.6727 4.5428 1.2761 P
1.1006 0.4557 2.3891 P
1.1538 1.9611 0.5509 Ru
2.5898 2.9869 3.1002 Tc
```

energy above the most stable polymorph in this dataset	57	meV per atom
formation energy	-0.32	eV per atom
raw total energy	-7.938	eV per atom
M_tot	0.100	μB/atom

***

# 4
Density functional theory data (GGA-PBE) for an optimized crystal structure of RbSr2GeTe.

The structure in POSCAR format:
```
RbSr2GeTe
1.0
-2.4451 5.6455 1.9926
-3.8825 -2.9091 3.4778
4.2603 0.1286 4.8636
Sr Ge Te Rb
2 1 1 1
Cartesian
2.1301 0.0643 2.4318 Sr
-1.2226 2.8228 0.9963 Sr
-1.0337 1.4325 5.1670 Ge
-1.9413 -1.4545 1.7389 Te
0.0000 0.0000 0.0000 Rb
```

ΔE_f (raw)	0.722	eV/atom
raw total energy	-1.696	eV per atom
M_tot	0.000	μB/atom

***

# 5
Density functional theory data (GGA-PBE) for an optimized crystal structure of YPaCSe2.

The structure in POSCAR format:
```
YPaCSe2
1.0
-2.7512 -2.8774 -0.1992
2.8188 -2.6240 -1.0281
2.2293 -3.1032 14.0326
Y Pa C Se
2 2 2 4
Cartesian
-1.1028 -1.8184 1.6172 Y
3.3660 -4.0355 11.8017 Y
-0.0805 -3.2415 8.0526 Pa
2.3436 -2.6124 5.3663 Pa
1.1146 -1.5516 7.0163 C
1.1485 -4.3023 6.4026 C
2.9516 -3.4587 9.1935 Se
1.6107 -1.5922 0.7532 Se
0.6524 -4.2616 12.6657 Se
-0.6885 -2.3951 4.2254 Se
```

ΔE_f (raw)	-1.270	eV/atom
raw total energy	-7.701	eV per atom
M_tot	0.000	μB/atom

***

# 6
Density functional theory data (GGA-PBE) for an optimized crystal structure of Sm3Mg2VS8.

The structure in POSCAR format:
```
Sm3Mg2VS8
1.0
-4.0736 5.5882 -3.5895
-2.4560 -1.2092 -7.2948
-7.6037 -1.1056 -1.2915
Sm Mg V S
3 2 1 8
Cartesian
-5.8387 2.2413 -2.4405 Sm
-3.2648 2.1895 -5.4421 Sm
-5.0299 -1.1574 -4.2931 Sm
-12.3664 2.8642 -10.6536 Mg
-1.7669 0.4092 -1.5222 Mg
-7.0667 1.6367 -6.0879 V
-9.1772 2.9467 -5.5142 S
-7.3336 0.3746 -3.8890 S
-3.5748 0.8280 -3.0797 S
-5.7032 3.4661 -4.9503 S
-10.5585 2.4455 -9.0961 S
-8.4301 -0.1927 -7.2254 S
-4.9561 0.3267 -6.6616 S
-6.7997 2.8989 -8.2868 S
```

ΔE_f (raw)	-1.571	eV/atom
raw total energy	-5.820	eV per atom
M_tot	0.143	μB/atom

***

# 7
Density functional theory data (GGA-PBE) for an optimized crystal structure of AlSeBr.

The structure in POSCAR format:
```
AlSeBr
1.0
8.4838 0.0013 -0.0006
6.4127 4.0491 -0.0177
2.0711 -2.4983 3.1849
Se Br Al
1 1 1
Cartesian
9.9265 1.5127 1.2229 Se
6.9374 -0.0135 1.9695 Br
2.1747 -2.4454 3.1590 Al
```

ΔE_f (raw)	-0.582	eV/atom
raw total energy	-3.549	eV per atom
M_tot	0.000	μB/atom

***

# 8
Density functional theory data (GGA-PBE) for an optimized crystal structure of La4As2O.

The structure in POSCAR format:
```
La4As2O
1.0
4.7400 0.0000 0.0000
0.0000 4.7400 0.0000
2.3700 2.3700 8.2242
As O La
2 1 4
Cartesian
2.3700 2.3700 2.2511 As
4.7400 4.7400 5.9731 As
0.0000 0.0000 0.0000 O
2.3700 2.3700 5.3375 La
4.7400 4.7400 2.8866 La
0.0000 2.3700 0.0000 La
2.3700 0.0000 0.0000 La
```

ΔE_f (raw)	-1.571	eV/atom
raw total energy	-6.423	eV per atom
M_tot	0.000	μB/atom

***

# 9
Density functional theory data (GGA-PBE) for an optimized crystal structure of YErTlCo.

The structure in POSCAR format:
```
YErTlCo
1.0
3.3713 0.0000 0.0000
0.0000 3.3713 0.0000
0.0000 0.0000 8.0620
Y Er Tl Co
1 1 1 1
Cartesian
1.6856 1.6856 6.2458 Y
1.6856 1.6856 2.9777 Er
0.0000 0.0000 0.5991 Tl
0.0000 0.0000 4.5657 Co
```

energy above the most stable polymorph in this dataset	0	meV per atom
formation energy	-0.26	eV per atom
raw total energy	-5.383	eV per atom
M_tot	0.100	μB/atom

***

# 10
Density functional theory data (GGA-PBE) for an optimized crystal structure of TbPrZrSc.

The structure in POSCAR format:
```
TbPrZrSc
1.0
-2.0363 1.4125 -4.8198
-2.9317 -3.5567 -2.8508
-5.3387 0.7335 -0.5766
Pr Sc Tb Zr
1 1 1 1
Cartesian
-2.5767 -0.3527 -2.0618 Pr
0.0000 0.0000 0.0000 Sc
-5.1533 -0.7053 -4.1236 Tb
-7.7300 -1.0580 -6.1854 Zr
```

formation energy	0.21	eV per atom
raw total energy	-5.862	eV per atom
M_tot	0.081	μB/atom

***

# 11
Density functional theory data (GGA-PBE) for an optimized crystal structure of RbLaAs2.

The structure in POSCAR format:
```
RbLaAs2
1.0
5.9833 0.0000 0.0000
0.0000 5.9833 0.0000
2.9917 2.9917 9.7298
As Rb La
4 2 2
Cartesian
5.5907 1.4958 2.4325 As
6.3759 4.4875 2.4325 As
4.4875 3.3843 7.2974 As
7.4792 2.5990 7.2974 As
2.9917 2.9917 0.0000 Rb
2.9917 5.9833 4.8649 Rb
0.0000 0.0000 0.0000 La
5.9833 2.9917 4.8649 La
```

energy above the most stable polymorph in this dataset	19	meV per atom
formation energy	-0.43	eV per atom
raw total energy	-4.227	eV per atom
M_tot	0.000	μB/atom

***

# 12
Density functional theory data (GGA-PBE) for an optimized crystal structure of LiRe2AsIr.

The structure in POSCAR format:
```
LiRe2AsIr
1.0
-3.8952 -0.8647 -1.3803
1.5290 -2.4269 -2.7946
-0.2331 -3.2452 2.6907
Re As Ir Li
2 1 1 1
Cartesian
-0.1166 -1.6226 1.3453 Re
-1.9476 -0.4323 -0.6902 Re
0.7645 -1.2134 -1.3973 As
-1.2997 -3.2684 -0.7421 Ir
0.0000 0.0000 0.0000 Li
```

formation energy	1.38	eV per atom
raw total energy	-6.687	eV per atom
M_tot	0.000	μB/atom